A relaxed structure of Co2Cu2Os, computed with GGA-PBE.

Geometry as extended XYZ:
```
5
Lattice="-1.199 1.022 -2.810 1.819 -2.154 -1.560 -4.265 -4.744 -1.752" Properties=species:S:1:pos:R:3 pbc="T T T"
Os 0.000 0.000 0.000
Cu -2.577 -2.144 -3.374
Cu -1.068 -3.732 -2.748
Co -3.084 -4.514 -4.019
Co -0.561 -1.361 -2.102
```

Output
ρ (Mg/m³): 11.21
Spin magnetization (μB per cell): 3.49
Formation energy (eV per atom): 0.66
VASP energy (eV per atom): -6.07